Entry 1:
Entry from Alexandria: a relaxed SiHgAu2 crystal (PBE).

Calculated values
Calculated total energy: -3.005 eV/atom
Uncorrected formation energy: 64 meV per atom
Space group: No. 12

Cell: 3.582 3.582 7.526 Å, 75.71 75.71 61.44°
Fractional positions:
1 Au 0.513 0.513 0.459
2 Au 0.987 0.987 0.041
3 Hg 0.750 0.750 0.750
4 Si 0.250 0.250 0.250

---

Entry 2:
Entry from Alexandria: a relaxed Sm6Y12Tm crystal (PBE).

Calculated values
Calculated total energy: -5.690 eV/atom
Space group: No. 166

Cell: 8.700 8.700 8.700 Å, 79.71 79.71 79.71°
Fractional positions:
1 Sm 0.230 0.230 0.839
2 Sm 0.230 0.839 0.230
3 Sm 0.770 0.161 0.770
4 Sm 0.161 0.770 0.770
5 Sm 0.839 0.230 0.230
6 Sm 0.770 0.770 0.161
7 Y 0.864 0.513 0.864
8 Y 0.196 0.515 0.515
9 Y 0.136 0.136 0.487
10 Y 0.485 0.804 0.485
11 Y 0.136 0.487 0.136
12 Y 0.864 0.864 0.513
13 Y 0.487 0.136 0.136
14 Y 0.513 0.864 0.864
15 Y 0.515 0.515 0.196
16 Y 0.485 0.485 0.804
17 Y 0.804 0.485 0.485
18 Y 0.515 0.196 0.515
19 Tm 0.000 0.000 0.000

---

Entry 3:
Entry from Alexandria: a relaxed Na3In3SnO8 crystal (PBE).

Calculated values
Calculated total energy: -5.367 eV/atom
Uncorrected formation energy: -1645 meV per atom
Space group: No. 166

Cell: 6.524 6.526 6.766 Å, 118.85 90.01 119.97°
Fractional positions:
1 In 0.000 0.500 0.500
2 In 0.500 0.500 0.500
3 In 0.500 0.000 0.500
4 O 0.264 0.528 0.292
5 O 0.775 0.023 0.298
6 O 0.225 0.451 0.702
7 O 0.775 0.549 0.298
8 O 0.736 0.472 0.708
9 O 0.248 0.023 0.298
10 O 0.752 0.977 0.702
11 O 0.225 0.977 0.702
12 Na 0.000 0.500 0.000
13 Na 0.500 0.500 0.000
14 Na 0.000 0.000 0.000
15 Sn 0.000 0.000 0.500

---

Entry 4:
Entry from Alexandria: a relaxed MnSi2Ag crystal (PBE).

Calculated values
Calculated total energy: -5.542 eV/atom
Uncorrected formation energy: 174 meV per atom
Space group: No. 25

Cell: 4.628 2.790 4.393 Å, 90.02 90.00 90.00°
Fractional positions:
1 Ag 0.000 0.375 0.510
2 Si 0.500 0.374 0.228
3 Si 0.000 0.876 0.001
4 Mn 0.500 0.875 0.761

---

Entry 5:
Entry from Alexandria: a relaxed SiTeI2Br crystal (PBE).

Calculated values
Calculated total energy: -2.344 eV/atom
Uncorrected formation energy: 324 meV per atom
Space group: No. 123

Cell: 5.436 5.436 5.514 Å, 90.00 90.00 90.00°
Fractional positions:
1 I 0.000 0.500 0.000
2 I 0.500 0.000 0.000
3 Br 0.500 0.500 0.500
4 Si 0.000 0.000 0.000
5 Te 0.000 0.000 0.500

---

Entry 6:
Entry from Alexandria: a relaxed BeVCd2Si crystal (PBE).

Calculated values
Calculated total energy: -3.115 eV/atom
Uncorrected formation energy: 905 meV per atom
Space group: No. 123

Cell: 4.709 4.081 4.709 Å, 90.00 90.00 90.00°
Fractional positions:
1 Si 0.000 0.500 0.000
2 Be 0.000 0.000 0.000
3 Cd 0.000 0.000 0.500
4 Cd 0.500 0.000 0.000
5 V 0.500 0.500 0.500